[1]
Pr4GaAuI2 PBE optimized geometry; VASP energy = -4.36 eV per atom; density of states at the Fermi level = 8.3 states/eV/f.u.; density = 6.94 g cm⁻³
1.0
4.302 0.000 0.000
0.000 7.857 0.245
0.000 -2.644 7.591
Pr I Ga Au
4 2 1 1
Direct
0.500 0.237 0.207 Pr
0.500 0.763 0.793 Pr
0.000 0.264 0.784 Pr
0.000 0.736 0.216 Pr
0.500 0.000 0.500 I
0.000 0.500 0.500 I
0.500 0.500 0.000 Ga
0.000 0.000 0.000 Au

[2]
Pr8Ga3AuI4 PBE optimized geometry; VASP energy = -4.33 eV per atom; density of states at the Fermi level = 15.4 states/eV/f.u.; density = 6.55 g cm⁻³
1.0
-4.747 1.392 -7.331
-7.713 -1.808 4.651
5.422 6.304 3.020
Ga Pr I Au
3 8 4 1
Direct
0.000 0.500 0.500 Ga
0.500 0.500 0.000 Ga
0.500 0.500 0.500 Ga
0.761 0.288 0.522 Pr
0.738 0.713 0.475 Pr
0.761 0.288 0.027 Pr
0.239 0.712 0.478 Pr
0.734 0.712 0.973 Pr
0.239 0.712 0.973 Pr
0.262 0.287 0.525 Pr
0.266 0.288 0.027 Pr
0.000 0.000 0.000 I
0.500 0.000 0.000 I
0.000 0.000 0.500 I
0.500 0.000 0.500 I
0.000 0.500 0.000 Au

[3]
GaPtAu2I PBE optimized geometry; VASP energy = -2.91 eV per atom; density of states at the Fermi level = 4.0 states/eV/f.u.; density = 10.96 g cm⁻³; energy above the lowest structure with this stoichiometry = 0.00 eV per formula unit
1.0
-2.608 -2.444 -3.439
-3.132 -1.435 3.395
-2.736 4.058 -0.809
Au Ga Pt I
2 1 1 1
Direct
0.500 0.000 0.000 Au
0.000 0.000 0.500 Au
0.000 0.000 0.000 Ga
0.000 0.500 0.000 Pt
0.500 0.500 0.500 I

[4]
GaPtAu2I PBE optimized geometry; VASP energy = -2.58 eV per atom; density of states at the Fermi level = 2.2 states/eV/f.u.; density = 8.79 g cm⁻³; energy above the lowest structure with this stoichiometry = 1.68 eV per formula unit
1.0
-4.929 1.830 1.309
-1.724 -4.752 0.149
1.284 -0.301 5.255
Au Ga I Pt
2 1 1 1
Direct
0.000 0.000 0.500 Au
0.500 0.000 0.000 Au
0.500 0.500 0.500 Ga
0.000 0.000 0.000 I
0.000 0.500 0.000 Pt

[5]
Rb2GaAuI6 PBE optimized geometry; VASP energy = -2.46 eV per atom; density of states at the Fermi level = 2.1 states/eV/f.u.; density = 5.00 g cm⁻³
1.0
-1.207 -3.656 -7.302
-6.429 -4.126 3.129
-7.381 0.457 -3.675
I Au Rb Ga
6 1 2 1
Direct
0.748 0.748 0.504 I
0.748 0.252 0.000 I
0.748 0.748 0.000 I
0.252 0.748 0.000 I
0.252 0.252 0.000 I
0.252 0.252 0.496 I
0.000 0.000 0.000 Au
0.250 0.750 0.500 Rb
0.750 0.250 0.500 Rb
0.500 0.500 0.000 Ga

[6]
GaRhAu2I PBE optimized geometry; VASP energy = -3.24 eV per atom; density of states at the Fermi level = 4.4 states/eV/f.u.; density = 9.11 g cm⁻³
1.0
-4.227 -2.988 0.251
2.199 -2.856 3.024
-1.768 2.834 3.963
Au I Rh Ga
2 1 1 1
Direct
0.000 0.000 0.500 Au
0.500 0.000 0.000 Au
0.500 0.500 0.500 I
0.000 0.000 0.000 Rh
0.000 0.500 0.000 Ga

[7]
GaTe2AuI PBE optimized geometry; VASP energy = -2.26 eV per atom; density of states at the Fermi level = 7.3 states/eV/f.u.; density = 6.70 g cm⁻³; energy above the lowest structure with this stoichiometry = 1.43 eV per formula unit
1.0
5.422 0.000 0.000
0.000 5.422 0.000
0.000 0.000 5.468
Te I Au Ga
2 1 1 1
Direct
0.000 0.500 0.000 Te
0.500 0.000 0.000 Te
0.000 0.000 0.500 I
0.500 0.500 0.500 Au
0.000 0.000 0.000 Ga

[8]
GaTe2AuI PBE optimized geometry; VASP energy = -2.55 eV per atom; density of states at the Fermi level = 5.1 states/eV/f.u.; density = 6.22 g cm⁻³; energy above the lowest structure with this stoichiometry = 0.00 eV per formula unit
1.0
5.491 0.000 0.000
0.000 5.491 0.000
0.000 0.000 5.745
Te I Au Ga
2 1 1 1
Direct
0.500 0.000 0.000 Te
0.000 0.500 0.000 Te
0.000 0.000 0.500 I
0.000 0.000 0.000 Au
0.500 0.500 0.500 Ga

[9]
GaTeAuI2 PBE optimized geometry; VASP energy = -2.06 eV per atom; density of states at the Fermi level = 4.7 states/eV/f.u.; density = 6.38 g cm⁻³; energy above the lowest structure with this stoichiometry = 1.43 eV per formula unit
1.0
-3.873 -1.467 -3.692
-3.081 -2.147 4.084
-2.479 4.843 0.676
I Au Ga Te
2 1 1 1
Direct
0.500 0.000 0.000 I
0.000 0.500 0.000 I
0.500 0.500 0.500 Au
0.000 0.000 0.000 Ga
0.000 0.000 0.500 Te

[10]
GaTeAuI2 PBE optimized geometry; VASP energy = -2.35 eV per atom; density of states at the Fermi level = 5.3 states/eV/f.u.; density = 6.01 g cm⁻³; energy above the lowest structure with this stoichiometry = 0.00 eV per formula unit
1.0
5.680 0.000 0.000
0.000 5.680 0.000
0.000 0.000 5.547
I Au Ga Te
2 1 1 1
Direct
0.000 0.500 0.000 I
0.500 0.000 0.000 I
0.000 0.000 0.000 Au
0.500 0.500 0.500 Ga
0.000 0.000 0.500 Te

[11]
TlGaAu2I PBE optimized geometry; VASP energy = -2.38 eV per atom; density of states at the Fermi level = 0.9 states/eV/f.u.; density = 7.05 g cm⁻³
1.0
-4.983 0.994 -1.510
-1.028 -6.522 -0.900
-1.612 -0.440 5.030
Ga Au Tl I
1 2 1 1
Direct
0.500 0.500 0.500 Ga
0.000 0.000 0.500 Au
0.500 0.000 0.000 Au
0.000 0.000 0.000 Tl
0.000 0.500 0.000 I

[12]
Tl2GaAuI PBE optimized geometry; VASP energy = -2.70 eV per atom; density of states at the Fermi level = 1.0 states/eV/f.u.; density = 8.05 g cm⁻³
1.0
5.750 0.000 0.000
0.000 5.750 0.000
0.000 0.000 5.005
Tl Ga Au I
2 1 1 1
Direct
0.000 0.500 0.000 Tl
0.500 0.000 0.000 Tl
0.000 0.000 0.500 Ga
0.000 0.000 0.000 Au
0.500 0.500 0.500 I

Values of raw formation energy, in order: -0.793; -0.781; 0.520; 0.855; -0.704; 0.454; 0.568; 0.281; 0.444; 0.159; 0.319; -0.187, all in eV per atom.